No. 1
# Cs2Tl4Pd

An optimized crystal structure of Cs2Tl4Pd (PBE, Alexandria).

Formation energy from the elements, eV/atom: -0.0440
Space-group type: I4/mmm, No. 139

Unit cell a=10.831 b=10.831 c=10.831 alpha=150.93 beta=150.93 gamma=41.58
Atoms (fractional coordinates):
Cs1 0.162 0.162 0.000
Cs2 0.838 0.838 0.000
Tl1 0.000 0.500 0.500
Tl2 0.365 0.365 0.000
Tl3 0.500 0.000 0.500
Tl4 0.635 0.635 0.000
Pd1 0.500 0.500 0.000

***

No. 2
# Cu3AsF12

An optimized crystal structure of Cu3AsF12 (PBE, Alexandria).

Space-group type: Im-3m, No. 229
Formation energy without anion corrections, eV per formula unit: -26.575

Unit cell a=6.670 b=6.670 c=6.670 alpha=109.47 beta=109.47 gamma=109.47
Atoms (fractional coordinates):
Cu1 0.000 0.500 0.500
Cu2 0.500 0.000 0.500
Cu3 0.500 0.500 0.000
As1 0.000 0.000 0.000
F1 0.000 0.229 0.229
F2 0.000 0.771 0.771
F3 0.229 0.000 0.229
F4 0.229 0.229 0.000
F5 0.250 0.500 0.750
F6 0.250 0.750 0.500
F7 0.500 0.250 0.750
F8 0.500 0.750 0.250
F9 0.750 0.250 0.500
F10 0.750 0.500 0.250
F11 0.771 0.000 0.771
F12 0.771 0.771 0.000

***

Calculated calculated density (g/cm³), listed in the same order as above: 6.6 3.6
Calculated energy (eV/cell), listed in the same order as above: -16.67 -65.97